# 1
The following is a DFT calculation (GGA-PBE) of Tb3Pt2 after structural relaxation.

abc: 4.878 4.878 6.113
angles: 90.00 90.00 120.00
Sites, in units of the cell vectors:
Tb 0.000 0.000 0.000
Tb 0.333 0.667 0.665
Tb 0.667 0.333 0.335
Pt 0.333 0.667 0.184
Pt 0.667 0.333 0.816

Formation energy: -1.03 eV per atom
E_tot: -6.221 eV per atom



# 2
The following is a DFT calculation (GGA-PBE) of Tb2TcPt after structural relaxation.

abc: 3.518 3.518 6.761
angles: 90.00 90.00 90.00
Sites, in units of the cell vectors:
Tb 0.000 0.000 0.247
Tb 0.000 0.000 0.753
Tc 0.500 0.500 0.000
Pt 0.500 0.500 0.500

Formation energy: -0.55 eV per atom
E_tot: -6.968 eV per atom



# 3
The following is a DFT calculation (GGA-PBE) of Tb6Tc2Pt after structural relaxation.

abc: 8.380 8.380 8.380
angles: 110.96 109.88 107.59
Sites, in units of the cell vectors:
Tb 0.025 0.834 0.191
Tb 0.257 0.324 0.581
Tb 0.257 0.676 0.933
Tb 0.263 0.569 0.307
Tb 0.263 0.956 0.693
Tb 0.357 0.166 0.191
Tb 0.643 0.834 0.809
Tb 0.737 0.044 0.307
Tb 0.737 0.431 0.693
Tb 0.743 0.324 0.067
Tb 0.743 0.676 0.419
Tb 0.975 0.166 0.809
Tc 0.000 0.174 0.174
Tc 0.000 0.826 0.826
Tc 0.384 0.384 0.000
Tc 0.616 0.616 0.000
Pt 0.000 0.500 0.500
Pt 0.500 0.000 0.500

Formation energy: -0.31 eV per atom
E_tot: -6.367 eV per atom



# 4
The following is a DFT calculation (GGA-PBE) of TbZrTcPt after structural relaxation.

abc: 4.790 4.790 4.790
angles: 60.00 60.00 60.00
Sites, in units of the cell vectors:
Tb 0.000 0.000 0.000
Zr 0.500 0.500 0.500
Tc 0.250 0.250 0.250
Pt 0.750 0.750 0.750

Formation energy: -0.59 eV per atom
E_tot: -7.989 eV per atom



# 5
The following is a DFT calculation (GGA-PBE) of Tb4TePt after structural relaxation.

abc: 8.348 3.960 19.667
angles: 90.00 90.00 90.00
Sites, in units of the cell vectors:
Tb 0.017 0.250 0.069
Tb 0.042 0.750 0.218
Tb 0.136 0.750 0.653
Tb 0.143 0.750 0.448
Tb 0.357 0.250 0.948
Tb 0.364 0.250 0.153
Tb 0.458 0.250 0.718
Tb 0.483 0.750 0.569
Tb 0.517 0.250 0.431
Tb 0.542 0.750 0.282
Tb 0.636 0.750 0.847
Tb 0.643 0.750 0.052
Tb 0.857 0.250 0.552
Tb 0.864 0.250 0.347
Tb 0.958 0.250 0.782
Tb 0.983 0.750 0.931
Te 0.244 0.250 0.314
Te 0.256 0.750 0.814
Te 0.744 0.250 0.186
Te 0.756 0.750 0.686
Pt 0.227 0.250 0.550
Pt 0.273 0.750 0.050
Pt 0.727 0.250 0.950
Pt 0.773 0.750 0.450

ΔE_f (raw): -0.9094 eV/atom
E_tot: -5.527 eV per atom



# 6
The following is a DFT calculation (GGA-PBE) of Tb2TePt after structural relaxation.

abc: 7.692 7.692 7.692
angles: 31.65 31.65 31.65
Sites, in units of the cell vectors:
Tb 0.000 0.000 0.000
Tb 0.195 0.195 0.195
Te 0.430 0.430 0.430
Pt 0.597 0.597 0.597

ΔE_f (raw): -1.2860 eV/atom
E_tot: -5.897 eV per atom



# 7
The following is a DFT calculation (GGA-PBE) of Tb3Te2Pt after structural relaxation.

abc: 14.118 13.461 7.536
angles: 79.01 69.39 31.60
Sites, in units of the cell vectors:
Tb 0.036 0.534 0.184
Tb 0.092 0.658 0.658
Tb 0.184 0.746 0.036
Tb 0.254 0.816 0.466
Tb 0.342 0.908 0.908
Tb 0.466 0.964 0.254
Tb 0.534 0.036 0.746
Tb 0.658 0.092 0.092
Tb 0.746 0.184 0.534
Tb 0.816 0.254 0.964
Tb 0.908 0.342 0.342
Tb 0.964 0.466 0.816
Te 0.130 0.130 0.620
Te 0.296 0.296 0.454
Te 0.380 0.380 0.870
Te 0.454 0.454 0.296
Te 0.546 0.546 0.704
Te 0.620 0.620 0.130
Te 0.704 0.704 0.546
Te 0.870 0.870 0.380
Pt 0.041 0.041 0.209
Pt 0.209 0.209 0.041
Pt 0.791 0.791 0.959
Pt 0.959 0.959 0.791

ΔE_f (raw): -1.3089 eV/atom
E_tot: -5.678 eV per atom



# 8
The following is a DFT calculation (GGA-PBE) of Tb7Te2Pt2 after structural relaxation.

abc: 9.509 9.509 9.509
angles: 155.98 66.94 118.58
Sites, in units of the cell vectors:
Tb 0.000 0.000 0.000
Tb 0.288 0.417 0.871
Tb 0.307 0.623 0.684
Tb 0.546 0.417 0.129
Tb 0.624 0.267 0.357
Tb 0.911 0.267 0.643
Tb 0.940 0.623 0.316
Te 0.262 0.762 0.500
Te 0.663 0.663 0.000
Pt 0.164 0.926 0.238
Pt 0.688 0.926 0.762

ΔE_f (raw): -1.0203 eV/atom
E_tot: -5.636 eV per atom



# 9
The following is a DFT calculation (GGA-PBE) of Tb2TePt after structural relaxation.

abc: 4.158 4.158 7.736
angles: 105.66 105.66 60.05
Sites, in units of the cell vectors:
Tb 0.237 0.237 0.212
Tb 0.763 0.763 0.788
Te 0.000 0.000 0.500
Pt 0.500 0.500 0.000

ΔE_f (raw): -1.2836 eV/atom
E_tot: -5.894 eV per atom



# 10
The following is a DFT calculation (GGA-PBE) of Tb3Te2Pt after structural relaxation.

abc: 7.906 7.906 4.245
angles: 90.00 90.00 134.60
Sites, in units of the cell vectors:
Tb 0.000 0.000 0.000
Tb 0.375 0.625 0.500
Tb 0.625 0.375 0.500
Te 0.159 0.841 0.500
Te 0.841 0.159 0.500
Pt 0.500 0.500 0.000

ΔE_f (raw): -1.1778 eV/atom
E_tot: -5.547 eV per atom



# 11
The following is a DFT calculation (GGA-PBE) of Tb4TePt after structural relaxation.

abc: 8.176 8.176 9.931
angles: 127.06 127.06 41.16
Sites, in units of the cell vectors:
Tb 0.089 0.089 0.439
Tb 0.110 0.110 0.009
Tb 0.376 0.376 0.797
Tb 0.382 0.382 0.190
Tb 0.618 0.618 0.810
Tb 0.624 0.624 0.203
Tb 0.890 0.890 0.991
Tb 0.911 0.911 0.561
Te 0.302 0.302 0.425
Te 0.698 0.698 0.575
Pt 0.171 0.171 0.797
Pt 0.829 0.829 0.203

ΔE_f (raw): -0.7344 eV/atom
E_tot: -5.352 eV per atom



# 12
The following is a DFT calculation (GGA-PBE) of Tb5Te2Pt2 after structural relaxation.

abc: 8.765 8.765 7.847
angles: 90.00 90.00 53.24
Sites, in units of the cell vectors:
Tb 0.000 0.000 0.000
Tb 0.040 0.721 0.658
Tb 0.221 0.540 0.158
Tb 0.279 0.960 0.658
Tb 0.460 0.779 0.158
Tb 0.500 0.500 0.500
Tb 0.540 0.221 0.842
Tb 0.721 0.040 0.342
Tb 0.779 0.460 0.842
Tb 0.960 0.279 0.342
Te 0.207 0.207 0.000
Te 0.293 0.293 0.500
Te 0.707 0.707 0.500
Te 0.793 0.793 0.000
Pt 0.139 0.861 0.364
Pt 0.361 0.639 0.864
Pt 0.639 0.361 0.136
Pt 0.861 0.139 0.636

ΔE_f (raw): -1.2071 eV/atom
E_tot: -5.820 eV per atom